Entry 1:
Density functional theory data (PBE) for a relaxed CsLiNpF6 crystal.

Output
ρ, kg/m3: 4368
Total magnetic moment, μB per cell: 6.000
Formation energy (no corrections), meV/atom: -3242.2
Density of states at the Fermi level, states/eV/atom: 1.431

abc: 5.7302 5.7302 13.1240
angles: 90.00 90.00 120.00
Space group P-31c (No. 163)
Unique sites:
Cs: 0.0000 0.0000 0.0000
Li: 0.3333 0.6667 0.2500
Np: 0.3333 0.6667 0.7500
F: 0.0068 0.3824 0.1601

---

Entry 2:
Density functional theory data (PBE) for a relaxed ErPuTh2 crystal.

Output
ρ, kg/m3: 12083
Total magnetic moment, μB per cell: 5.125
E_form, eV/atom: 0.10
Density of states at the Fermi level, states/eV/atom: 2.370
E above lowest polymorph, eV/atom: 0.008

abc: 3.523 3.523 9.693
angles: 90.00 90.00 90.00
Space group P4/mmm (No. 123)
Unique sites:
Er: 0.000 0.000 0.000
Pu: 0.000 0.000 0.500
Th: 0.500 0.500 0.261

---

Entry 3:
Density functional theory data (PBE) for a relaxed LiAlAs2Pd crystal.

Output
ρ, kg/m3: 4082
Total magnetic moment, μB per cell: 0.000
E_form, eV/atom: 0.19
Density of states at the Fermi level, states/eV/atom: 0.783

abc: 5.025 5.025 4.675
angles: 90.00 90.00 90.00
Space group P4/mmm (No. 123)
Unique sites:
Li: 0.000 0.000 0.000
Al: 0.500 0.500 0.000
As: 0.000 0.500 0.500
Pd: 0.500 0.500 0.500

---

Entry 4:
Density functional theory data (PBE) for a relaxed NiTe2IN crystal.

Output
ρ, kg/m3: 6738
Total magnetic moment, μB per cell: 0.000
Formation energy (no corrections), meV/atom: 584.4
Density of states at the Fermi level, states/eV/atom: 0.734
E above lowest polymorph, eV/atom: 0.000

abc: 5.684 5.684 3.469
angles: 90.00 90.00 90.00
Space group P4/mmm (No. 123)
Unique sites:
Ni: 0.000 0.000 0.000
Te: 0.000 0.500 0.000
I: 0.500 0.500 0.500
N: 0.000 0.000 0.500

---

Entry 5:
Density functional theory data (PBE) for a relaxed TaTcHg2 crystal.

Output
ρ, kg/m3: 13651
Total magnetic moment, μB per cell: 0.000
E_form, eV/atom: 0.24
Density of states at the Fermi level, states/eV/atom: 0.885
E above lowest polymorph, eV/atom: 0.014

abc: 3.2096 3.2096 27.8200
angles: 90.00 90.00 120.00
Space group R3m (No. 160, hexagonal axes)
Unique sites:
Ta: 0.0000 0.0000 0.0000
Tc: 0.0000 0.0000 0.7269
Hg: 0.0000 0.0000 0.2438
Hg: 0.0000 0.0000 0.4806

---

Entry 6:
Density functional theory data (PBE) for a relaxed Tb3Dy3MgS8 crystal.

Output
ρ, kg/m3: 6178
Total magnetic moment, μB per cell: 0.000
Formation energy (no corrections), meV/atom: -1980.8
Density of states at the Fermi level, states/eV/atom: 0.245

abc: 7.7886 7.7886 19.1113
angles: 90.00 90.00 120.00
Space group R-3m (No. 166, hexagonal axes)
Unique sites:
Tb: 0.0000 0.5000 0.0000
Dy: 0.0000 0.5000 0.5000
Mg: 0.0000 0.0000 0.5000
S: 0.0000 0.0000 0.2493
S: 0.0114 0.5057 0.2465

---

Entry 7:
Density functional theory data (PBE) for a relaxed KEuH2 crystal.

Output
ρ, kg/m3: 4153
Total magnetic moment, μB per cell: 7.613
Density of states at the Fermi level, states/eV/atom: 0.416
E above lowest polymorph, eV/atom: 0.183

abc: 3.319 3.319 7.007
angles: 90.00 90.00 90.00
Space group P4/mmm (No. 123)
Unique sites:
K: 0.000 0.000 0.000
Eu: 0.000 0.000 0.500
H: 0.500 0.500 0.312

---

Entry 8:
Density functional theory data (PBE) for a relaxed CePu3Bi4 crystal.

Output
ρ, kg/m3: 10619
Total magnetic moment, μB per cell: 32.144
E_form, eV/atom: -0.44
Density of states at the Fermi level, states/eV/atom: 5.736

abc: 7.882 9.108 7.893
angles: 90.00 109.48 90.00
Space group P2/c (No. 13)
Unique sites:
Ce: 0.000 0.126 0.250
Pu: 0.000 0.376 0.750
Pu: 0.500 0.126 0.750
Pu: 0.500 0.376 0.250
Bi: 0.250 0.125 0.000
Bi: 0.250 0.375 0.500